No. 1
PBE-GGA Ca4H5Rh, relaxed; magnetic moment = 0.000 μB/atom; E_tot = -34.9 eV/cell; theoretical density = 2965 kg/m3; crystal system = tetragonal; DOS at the Fermi energy = 4.48 states/eV/cell
1.0
5.072 0.000 0.000
2.536 5.443 0.000
2.536 0.000 5.443
H Ca Rh
5 4 1
Direct
0.230 0.857 0.704 H
0.086 0.704 0.143 H
0.934 0.296 0.857 H
0.401 0.000 0.000 H
0.790 0.143 0.296 H
0.798 0.820 0.587 Ca
0.205 0.180 0.413 Ca
0.385 0.413 0.820 Ca
0.618 0.587 0.180 Ca
0.063 0.000 0.000 Rh


No. 2
PBE-GGA CaH3Rh, relaxed; magnetic moment = 0.000 μB/atom; E_tot = -41.0 eV/cell; theoretical density = 4314 kg/m3; crystal system = tetragonal; DOS at the Fermi energy = 2.01 states/eV/cell
1.0
-0.445 3.332 1.291
-2.209 0.766 -2.739
-8.089 -0.673 3.968
H Rh Ca
6 2 2
Direct
0.210 0.925 0.150 H
0.639 0.925 0.150 H
0.075 0.361 0.850 H
0.075 0.790 0.850 H
0.251 0.251 0.498 H
0.749 0.749 0.502 H
0.000 0.000 0.000 Rh
0.250 0.750 0.500 Rh
0.855 0.355 0.289 Ca
0.645 0.145 0.711 Ca


No. 3
PBE-GGA CaHRh, relaxed; magnetic moment = 0.000 μB/atom; E_tot = -27.5 eV/cell; polymorph energy (0 for the lowest one) = 0.1322 eV per atom; theoretical density = 5303 kg/m3; crystal system = monoclinic; DOS at the Fermi energy = 1.93 states/eV/cell
1.0
-0.225 -1.390 2.740
-4.227 -1.710 -2.947
3.931 -3.821 -1.616
Ca Rh H
2 2 2
Direct
0.608 0.217 0.799 Ca
0.392 0.783 0.201 Ca
0.672 0.345 0.324 Rh
0.328 0.655 0.676 Rh
0.108 0.216 0.176 H
0.892 0.784 0.824 H


No. 4
PBE-GGA CaH3Rh, relaxed; magnetic moment = 0.000 μB/atom; E_tot = -38.3 eV/cell; theoretical density = 4295 kg/m3; crystal system = tetragonal; DOS at the Fermi energy = 6.00 states/eV/cell
1.0
-0.904 0.176 3.616
-2.307 -2.901 -0.436
4.456 -6.449 3.353
H Rh Ca
6 2 2
Direct
0.509 0.901 0.199 H
0.659 0.659 0.682 H
0.099 0.707 0.801 H
0.099 0.491 0.801 H
0.293 0.901 0.199 H
0.341 0.341 0.318 H
0.847 0.347 0.306 Rh
0.653 0.153 0.694 Rh
0.000 0.000 0.000 Ca
0.250 0.750 0.500 Ca


No. 5
PBE-GGA Ca6H2Rh, relaxed; magnetic moment = 0.000 μB/atom; E_tot = -56.9 eV/cell; theoretical density = 2415 kg/m3; crystal system = monoclinic; DOS at the Fermi energy = 10.42 states/eV/cell
1.0
6.242 0.000 0.000
0.000 6.686 -0.343
0.000 0.603 11.352
H Ca Rh
4 12 2
Direct
0.001 0.501 0.329 H
0.999 0.499 0.671 H
0.499 0.001 0.829 H
0.501 0.999 0.171 H
0.256 0.172 0.328 Ca
0.744 0.828 0.672 Ca
0.246 0.672 0.173 Ca
0.730 0.850 0.000 Ca
0.254 0.172 0.673 Ca
0.230 0.650 0.500 Ca
0.754 0.328 0.827 Ca
0.270 0.150 0.000 Ca
0.244 0.672 0.828 Ca
0.756 0.328 0.172 Ca
0.770 0.350 0.500 Ca
0.746 0.828 0.327 Ca
0.000 0.000 0.500 Rh
0.500 0.500 0.000 Rh


No. 6
PBE-GGA Ca3HRh, relaxed; magnetic moment = 0.000 μB/atom; E_tot = -35.9 eV/cell; polymorph energy (0 for the lowest one) = 0.0000 eV per atom; theoretical density = 3282 kg/m3; crystal system = monoclinic; DOS at the Fermi energy = 7.29 states/eV/cell
1.0
3.618 0.000 -0.001
0.001 8.113 -0.150
0.002 2.680 7.678
Ca H Rh
6 2 2
Direct
0.863 0.632 0.053 Ca
0.363 0.030 0.082 Ca
0.863 0.756 0.440 Ca
0.363 0.358 0.411 Ca
0.864 0.000 0.685 Ca
0.863 0.388 0.808 Ca
0.363 0.694 0.246 H
0.364 0.194 0.747 H
0.863 0.194 0.246 Rh
0.363 0.694 0.746 Rh


No. 7
PBE-GGA CaH4Rh, relaxed; magnetic moment = 0.000 μB/atom; E_tot = -50.7 eV/cell; theoretical density = 4266 kg/m3; crystal system = monoclinic; DOS at the Fermi energy = 1.81 states/eV/cell
1.0
-2.527 -2.050 -4.605
3.964 -1.355 -1.573
0.074 -3.497 3.198
Ca H Rh
2 8 2
Direct
0.500 0.500 0.000 Ca
0.000 0.000 0.000 Ca
0.750 0.750 0.500 H
0.411 0.999 0.135 H
0.250 0.250 0.500 H
0.089 0.499 0.865 H
0.250 0.750 0.500 H
0.589 0.001 0.865 H
0.911 0.501 0.135 H
0.750 0.250 0.500 H
0.500 0.000 0.500 Rh
0.000 0.500 0.500 Rh


No. 8
PBE-GGA CaH3Rh, relaxed; magnetic moment = 0.000 μB/atom; E_tot = -43.5 eV/cell; theoretical density = 4502 kg/m3; crystal system = monoclinic; DOS at the Fermi energy = 1.80 states/eV/cell
1.0
-5.966 7.910 7.844
-4.208 4.391 1.128
0.936 -5.643 -2.354
Rh H Ca
2 6 2
Direct
0.756 0.172 0.828 Rh
0.244 0.828 0.172 Rh
0.754 0.668 0.332 H
0.246 0.332 0.668 H
0.889 0.180 0.820 H
0.539 0.277 0.723 H
0.111 0.820 0.180 H
0.461 0.723 0.277 H
0.268 0.089 0.911 Ca
0.732 0.911 0.089 Ca


> DOS at the Fermi energy of number 8 (CaH3Rh)?

1.80 states/eV/cell


> Which of these has the highest theoretical density?

CaHRh